VASP calculation (PBE+U) on a relaxed structure of SrNbFeO6.

Properties
E (eV for the cell shown): -128.6

Unit cell a=5.613 b=5.613 c=7.938 alpha=90.00 beta=90.00 gamma=90.00
Space group I-4 (No. 82)
One atom of each set of equivalent atoms:
Sr (0.000, 0.000, 0.000) x2
Nb (0.000, 0.500, 0.250) x2
Fe (0.000, 0.500, 0.750) x2
O (0.000, 0.500, 0.501) x4
O (0.248, 0.250, 0.750) x8